A:
The following is a DFT calculation (PBE) of crystalline PmY3In4 at its relaxed geometry.

a = 10.1655 Å, b = 10.1655 Å, c = 10.1655 Å
α = 160.25°, β = 138.69°, γ = 46.18°
Closest atoms and distances in Å follow each position.
Atoms (fractional coordinates):
Pm (0.0000, 0.0000, 0.0000)  4 In 3.17, 2 Pm 3.49
Y (0.2185, 0.7185, 0.5000)  6 In 3.20-3.24, 2 Y 3.49
Y (0.5000, 0.5000, 0.0000)  8 In 3.32, 2 Y 3.49
Y (0.7815, 0.2815, 0.5000)  6 In 3.20-3.24, 2 Y 3.49
In (0.1633, 0.8721, 0.2912)  1 In 2.99, 1 Pm 3.17, 5 Y 3.20-3.32
In (0.4191, 0.1279, 0.2912)  1 In 2.99, 1 Pm 3.17, 5 Y 3.20-3.32
In (0.5809, 0.8721, 0.7088)  1 In 2.99, 1 Pm 3.17, 5 Y 3.20-3.32
In (0.8367, 0.1279, 0.7088)  1 In 2.99, 1 Pm 3.17, 5 Y 3.20-3.32

Output
Space group: Immm
D(E_F), states/eV/f.u.: 6.65
Crystal system: orthorhombic

B:
The following is a DFT calculation (PBE) of crystalline PmY3In4 at its relaxed geometry.

a = 5.3586 Å, b = 5.3586 Å, c = 7.5488 Å
α = 90.00°, β = 90.00°, γ = 90.00°
Closest atoms and distances in Å follow each position.
Atoms (fractional coordinates):
Pm (0.0000, 0.0000, 0.0000)  8 In 3.30
Y (0.0000, 0.0000, 0.5000)  8 In 3.26
Y (0.5000, 0.5000, 0.0000)  8 In 3.30
Y (0.5000, 0.5000, 0.5000)  8 In 3.26
In (0.0000, 0.5000, 0.2546)  6 Y 3.26-3.30, 2 Pm 3.30
In (0.0000, 0.5000, 0.7454)  6 Y 3.26-3.30, 2 Pm 3.30
In (0.5000, 0.0000, 0.2546)  6 Y 3.26-3.30, 2 Pm 3.30
In (0.5000, 0.0000, 0.7454)  6 Y 3.26-3.30, 2 Pm 3.30

Output
Space group: P4/mmm
D(E_F), states/eV/f.u.: 3.43
Crystal system: tetragonal

Quick one: most stable of them? B

A:
The following is a DFT calculation (PBE) of crystalline PmY4In2 at its relaxed geometry.

a = 6.5304 Å, b = 10.7422 Å, c = 6.9126 Å
α = 90.00°, β = 115.40°, γ = 90.00°
Closest atoms and distances in Å follow each position.
Atoms (fractional coordinates):
Pm (0.0000, 0.0000, 0.0000)  2 In 3.31, 2 Y 3.57
Pm (0.0000, 0.5000, 0.5000)  2 In 3.31, 2 Y 3.57
Y (0.0048, 0.1676, 0.5008)  2 In 3.19-3.22, 2 Y 3.48, 1 Pm 3.57
Y (0.0048, 0.3324, 0.0008)  2 In 3.19-3.22, 2 Y 3.48, 1 Pm 3.57
Y (0.4942, 0.7207, 0.4983)  4 In 3.12-3.35, 2 Y 3.48
Y (0.4942, 0.7793, 0.9983)  4 In 3.12-3.35, 2 Y 3.48
Y (0.5058, 0.2207, 0.0017)  4 In 3.12-3.35, 2 Y 3.48
Y (0.5058, 0.2793, 0.5017)  4 In 3.12-3.35, 2 Y 3.48
Y (0.9952, 0.6676, 0.9992)  2 In 3.19-3.22, 2 Y 3.48, 1 Pm 3.57
Y (0.9952, 0.8324, 0.4992)  2 In 3.19-3.22, 2 Y 3.48, 1 Pm 3.57
In (0.4497, 0.5011, 0.1864)  1 In 2.92, 4 Y 3.12-3.22
In (0.4497, 0.9989, 0.6864)  1 In 2.92, 4 Y 3.12-3.22
In (0.5503, 0.0011, 0.3136)  1 In 2.92, 4 Y 3.12-3.22
In (0.5503, 0.4989, 0.8136)  1 In 2.92, 4 Y 3.12-3.22

Output
Space group: P2_1/c
D(E_F), states/eV/f.u.: 9.13
Crystal system: monoclinic

B:
The following is a DFT calculation (PBE) of crystalline PmY4In2 at its relaxed geometry.

a = 10.8704 Å, b = 10.8704 Å, c = 10.8704 Å
α = 27.27°, β = 27.27°, γ = 27.27°
Closest atoms and distances in Å follow each position.
Atoms (fractional coordinates):
Pm (0.0000, 0.0000, 0.0000)  2 In 3.16, 6 Y 3.49
Y (0.2037, 0.2037, 0.2037)  4 In 3.09-3.23
Y (0.3920, 0.3920, 0.3920)  3 In 3.24, 3 Pm 3.49
Y (0.6080, 0.6080, 0.6080)  3 In 3.24, 3 Pm 3.49
Y (0.7963, 0.7963, 0.7963)  4 In 3.09-3.23
In (0.1008, 0.1008, 0.1008)  7 Y 3.09-3.24, 1 Pm 3.16
In (0.8992, 0.8992, 0.8992)  7 Y 3.09-3.24, 1 Pm 3.16

Output
Space group: R-3m
D(E_F), states/eV/f.u.: 8.81
Crystal system: trigonal

Quick one: most stable of them? A

A:
The following is a DFT calculation (PBE) of crystalline Pm6YIn2 at its relaxed geometry.

a = 6.1333 Å, b = 6.1333 Å, c = 10.6609 Å
α = 107.64°, β = 107.64°, γ = 46.45°
Closest atoms and distances in Å follow each position.
Atoms (fractional coordinates):
Pm (0.0075, 0.0075, 0.1757)  8 Pm 3.42-3.69, 1 Y 3.49, 3 In 3.49-3.55
Pm (0.3269, 0.3269, 0.9450)  9 Pm 3.40-3.69, 3 In 3.52-3.58
Pm (0.3298, 0.3298, 0.6095)  5 Pm 3.42-3.59, 4 In 3.50-3.51, 3 Y 3.51-3.52
Pm (0.6702, 0.6702, 0.3905)  5 Pm 3.42-3.59, 4 In 3.50-3.51, 3 Y 3.51-3.52
Pm (0.6731, 0.6731, 0.0550)  9 Pm 3.40-3.69, 3 In 3.52-3.58
Pm (0.9925, 0.9925, 0.8243)  8 Pm 3.42-3.69, 1 Y 3.49, 3 In 3.49-3.55
Y (0.0000, 0.0000, 0.5000)  4 In 3.41, 8 Pm 3.49-3.52
In (0.3406, 0.3406, 0.2849)  2 Y 3.41, 10 Pm 3.49-3.58
In (0.6594, 0.6594, 0.7151)  2 Y 3.41, 10 Pm 3.49-3.58

Output
Space group: C2/m
D(E_F), states/eV/f.u.: 10.91
Crystal system: monoclinic

B:
The following is a DFT calculation (PBE) of crystalline Pm6YIn2 at its relaxed geometry.

a = 9.9227 Å, b = 9.9227 Å, c = 3.4670 Å
α = 99.97°, β = 99.97°, γ = 56.83°
Closest atoms and distances in Å follow each position.
Atoms (fractional coordinates):
Pm (0.1428, 0.5167, 0.8309)  6 Pm 3.24-3.53, 3 In 3.44-3.50
Pm (0.1632, 0.8368, 0.0000)  3 Pm 3.08-3.24
Pm (0.4833, 0.8572, 0.1691)  6 Pm 3.24-3.53, 3 In 3.44-3.50
Pm (0.5167, 0.1428, 0.8309)  6 Pm 3.24-3.53, 3 In 3.44-3.50
Pm (0.8368, 0.1632, 0.0000)  3 Pm 3.08-3.24
Pm (0.8572, 0.4833, 0.1691)  6 Pm 3.24-3.53, 3 In 3.44-3.50
Y (0.5000, 0.5000, 0.5000)  2 Y 3.47, 12 Pm 3.62-3.82
In (0.1532, 0.1532, 0.6509)  10 Pm 3.44-3.50, 2 In 3.47
In (0.8468, 0.8468, 0.3491)  10 Pm 3.44-3.50, 2 In 3.47

Output
Space group: C2/m
D(E_F), states/eV/f.u.: 12.47
Crystal system: monoclinic

Quick one: most stable of them? A

A:
The following is a DFT calculation (PBE) of crystalline Pm2Y2In3 at its relaxed geometry.

a = 6.6807 Å, b = 6.6807 Å, c = 8.3758 Å
α = 100.01°, β = 100.01°, γ = 33.39°
Closest atoms and distances in Å follow each position.
Atoms (fractional coordinates):
Pm (0.0675, 0.0675, 0.2066)  6 In 3.27-3.49, 2 Y 3.57, 1 Pm 3.58
Pm (0.9325, 0.9325, 0.7934)  6 In 3.27-3.49, 2 Y 3.57, 1 Pm 3.58
Y (0.1995, 0.1995, 0.6475)  5 In 3.25-3.57, 2 Y 3.55, 2 Pm 3.57
Y (0.8005, 0.8005, 0.3525)  5 In 3.25-3.57, 2 Y 3.55, 2 Pm 3.57
In (0.3431, 0.3431, 0.0552)  2 In 3.07, 2 Y 3.27, 2 Pm 3.27
In (0.5000, 0.5000, 0.5000)  4 Y 3.25, 4 Pm 3.35
In (0.6569, 0.6569, 0.9448)  2 In 3.07, 2 Y 3.27, 2 Pm 3.27

Output
Space group: C2/m
D(E_F), states/eV/f.u.: 6.95
Crystal system: monoclinic

B:
The following is a DFT calculation (PBE) of crystalline Pm2Y2In3 at its relaxed geometry.

a = 12.9445 Å, b = 12.9445 Å, c = 3.5186 Å
α = 90.00°, β = 90.00°, γ = 159.96°
Closest atoms and distances in Å follow each position.
Atoms (fractional coordinates):
Pm (0.0695, 0.9305, 0.0000)  1 Y 3.33, 8 In 3.36-3.41, 3 Pm 3.52-3.55
Pm (0.9305, 0.0695, 0.0000)  1 Y 3.33, 8 In 3.36-3.41, 3 Pm 3.52-3.55
Y (0.2002, 0.7998, 0.0000)  4 In 3.22, 1 Pm 3.33, 4 Y 3.39-3.52
Y (0.7998, 0.2002, 0.0000)  4 In 3.22, 1 Pm 3.33, 4 Y 3.39-3.52
In (0.3577, 0.6423, 0.5000)  4 Y 3.22, 4 Pm 3.41, 2 In 3.52
In (0.5000, 0.5000, 0.5000)  8 Pm 3.36, 4 In 3.52-3.63
In (0.6423, 0.3577, 0.5000)  4 Y 3.22, 4 Pm 3.41, 2 In 3.52

Output
Space group: Cmmm
D(E_F), states/eV/f.u.: 7.18
Crystal system: orthorhombic

Quick one: most stable of them? A

A:
The following is a DFT calculation (PBE) of crystalline PmY4In at its relaxed geometry.

a = 8.7096 Å, b = 8.7096 Å, c = 8.7096 Å
α = 99.04°, β = 99.04°, γ = 133.30°
Closest atoms and distances in Å follow each position.
Atoms (fractional coordinates):
Pm (0.0000, 0.0000, 0.0000)  4 Y 2.94-3.02
Pm (0.7500, 0.2500, 0.5000)  4 Y 2.94-3.02
Y (0.3165, 0.5765, 0.7401)  2 In 2.97-3.01
Y (0.3265, 0.0864, 0.7599)  2 In 2.97-3.01
Y (0.3265, 0.5665, 0.2401)  2 In 2.97-3.01
Y (0.3376, 0.0744, 0.2632)  2 Pm 2.94-3.02
Y (0.8111, 0.0744, 0.7368)  2 Pm 2.94-3.02
Y (0.8244, 0.0611, 0.2368)  2 Pm 2.94-3.02
Y (0.8244, 0.5876, 0.7632)  2 Pm 2.94-3.02
Y (0.8364, 0.5765, 0.2599)  2 In 2.97-3.01
In (0.2637, 0.7637, 0.5000)  4 Y 2.97-3.01
In (0.5137, 0.5137, 0.0000)  4 Y 2.97-3.01

Output
Space group: I4_1md
D(E_F), states/eV/f.u.: 9.37
Crystal system: tetragonal

B:
The following is a DFT calculation (PBE) of crystalline PmY4In at its relaxed geometry.

a = 5.4607 Å, b = 5.4607 Å, c = 8.3346 Å
α = 109.07°, β = 109.07°, γ = 59.92°
Closest atoms and distances in Å follow each position.
Atoms (fractional coordinates):
Pm (0.0000, 0.0000, 0.0000)  6 Y 3.25
Y (0.2157, 0.2157, 0.6469)  3 In 3.35, 4 Y 3.53-3.70
Y (0.3676, 0.3676, 0.1042)  1 In 3.06, 3 Pm 3.25
Y (0.6324, 0.6324, 0.8958)  1 In 3.06, 3 Pm 3.25
Y (0.7843, 0.7843, 0.3531)  3 In 3.35, 4 Y 3.53-3.70
In (0.5000, 0.5000, 0.5000)  8 Y 3.06-3.35

Output
Space group: C2/m
D(E_F), states/eV/f.u.: 8.61
Crystal system: monoclinic

Quick one: most stable of them? B